[1]
A plane-wave DFT calculation with PBE-GGA was carried out for crystalline MgAlPb2 at its relaxed geometry.

Values from the calculation:
The energy above the most stable polymorph in this dataset comes out at 0 meV/atom.

```
MgAlPb2
1.0
3.348 0.000 0.000
0.000 4.154 0.000
0.000 0.000 7.532
Pb Mg Al
2 1 1
direct
0.500 0.500 0.300
0.000 0.000 0.953
0.500 0.500 0.721
0.000 0.000 0.525
```

=====

[2]
A plane-wave DFT calculation with PBE-GGA was carried out for crystalline VCu4Pd2 at its relaxed geometry.

Values from the calculation:
The energy comes out at -4.6893 eV/atom.

```
VCu4Pd2
1.0
-1.447 4.160 -1.712
-2.883 0.523 3.707
5.626 -0.156 1.386
V Cu Pd
1 4 2
direct
0.000 0.000 0.000
0.000 0.500 0.000
0.250 0.750 0.500
0.500 0.000 0.000
0.750 0.250 0.500
0.358 0.358 0.715
0.642 0.642 0.285
```

=====

Volume? In order: 26.2, 15.1 Å³ per atom.